Re3Ag4 | GGA-PBE | optimized geometry

Output
DFT total energy: -6.460 eV/atom
Total magnetization: 0.00 μB/cell
Symmetry: No. 139
Energy relative to the elements: 504 meV/atom
Density: 14.2 g/cm3

a b c (Å): 15.052 15.052 15.052
angles (deg): 169.38 169.38 15.04
Fractional positions:
1 Ag 0.147 0.147 0.000
2 Ag 0.572 0.572 0.000
3 Ag 0.428 0.428 0.000
4 Ag 0.853 0.853 0.000
5 Re 0.721 0.721 0.000
6 Re 0.000 0.000 0.000
7 Re 0.279 0.279 0.000